BaZnCrO4 | GGA+U | optimized geometry

Values from the calculation:
- Electronic total energy: -86.02 eV for the cell shown

Cell lengths 4.509, 5.661, 8.481 Å; angles 90.00, 109.24, 90.00 degrees
Sites, in units of the cell vectors:
O (0.076, 0.006, 0.660)
O (0.924, 0.506, 0.340)
O (0.924, 0.994, 0.340)
O (0.250, 0.750, 0.062)
O (0.515, 0.750, 0.502)
O (0.076, 0.494, 0.660)
O (0.750, 0.250, 0.938)
O (0.485, 0.250, 0.498)
Ba (0.614, 0.750, 0.872)
Ba (0.386, 0.250, 0.128)
Zn (0.801, 0.250, 0.729)
Zn (0.199, 0.750, 0.271)
Cr (0.099, 0.250, 0.498)
Cr (0.901, 0.750, 0.502)